Material: Al2TePt
Method: DFT, PBE
State: relaxed

The structure in CIF format:
```
data_Al2TePt
_chemical_formula_sum 'Al4 Te2 Pt2'
_cell_length_a 4.3442
_cell_length_b 4.3442
_cell_length_c 7.7957
_cell_angle_alpha 90.00
_cell_angle_beta 90.00
_cell_angle_gamma 90.00
_space_group_name_H-M_alt 'I 4/m m m'
_space_group_IT_number 139
_space_group_name_Hall '-I 4 2'
loop_
_atom_site_label
_atom_site_type_symbol
_atom_site_fract_x
_atom_site_fract_y
_atom_site_fract_z
Al1 Al 0.0000 0.5000 0.2500
Te1 Te 0.0000 0.0000 0.0000
Pt1 Pt 0.0000 0.0000 0.5000
```

Material: Al2TePt
Method: DFT, PBE
State: relaxed

The structure in CIF format:
```
data_Al2TePt
_chemical_formula_sum 'Al2 Te1 Pt1'
_cell_length_a 3.0736
_cell_length_b 3.0736
_cell_length_c 8.3769
_cell_angle_alpha 90.00
_cell_angle_beta 90.00
_cell_angle_gamma 90.00
_space_group_name_H-M_alt 'P 4 m m'
_space_group_IT_number 99
_space_group_name_Hall 'P 4 -2'
loop_
_atom_site_label
_atom_site_type_symbol
_atom_site_fract_x
_atom_site_fract_y
_atom_site_fract_z
Al1 Al 0.0000 0.0000 0.0000
Al2 Al 0.5000 0.5000 0.2225
Te1 Te 0.5000 0.5000 0.6833
Pt1 Pt 0.0000 0.0000 0.3813
```

# AlTePt2 | Alexandria via LeMat-Bulk | PBE | relaxed
# * energy above the most stable polymorph in this dataset: 0.4963 eV per atom
data_AlTePt2
_chemical_formula_sum 'Al4 Te4 Pt8'
_cell_length_a 6.6173
_cell_length_b 6.6173
_cell_length_c 6.6173
_cell_angle_alpha 90.00
_cell_angle_beta 90.00
_cell_angle_gamma 90.00
_space_group_name_H-M_alt 'F -4 3 m'
_space_group_IT_number 216
_space_group_name_Hall 'F -4 2 3'
loop_
_atom_site_label
_atom_site_type_symbol
_atom_site_fract_x
_atom_site_fract_y
_atom_site_fract_z
Al1 Al 0.0000 0.0000 0.0000
Te1 Te 0.2500 0.2500 0.2500
Pt1 Pt 0.0000 0.0000 0.5000
Pt2 Pt 0.2500 0.2500 0.7500

Material: Al2TePt
Method: DFT, PBE
State: relaxed

The structure in CIF format:
```
data_Al2TePt
_chemical_formula_sum 'Al4 Te2 Pt2'
_cell_length_a 5.7045
_cell_length_b 7.5734
_cell_length_c 3.5964
_cell_angle_alpha 90.00
_cell_angle_beta 102.03
_cell_angle_gamma 90.00
_space_group_name_H-M_alt 'C 1 2/m 1'
_space_group_IT_number 12
_space_group_name_Hall '-C 2y'
loop_
_atom_site_label
_atom_site_type_symbol
_atom_site_fract_x
_atom_site_fract_y
_atom_site_fract_z
Al1 Al 0.2500 0.2500 0.0000
Te1 Te 0.0000 0.0000 0.5000
Pt1 Pt 0.0000 0.5000 0.5000
```

# AlTePt | Alexandria via LeMat-Bulk | PBE | relaxed
# * energy above the most stable polymorph in this dataset: 0.1931 eV per atom
data_AlTePt
_chemical_formula_sum 'Al2 Te2 Pt2'
_cell_length_a 3.7229
_cell_length_b 3.7229
_cell_length_c 10.4651
_cell_angle_alpha 90.00
_cell_angle_beta 90.00
_cell_angle_gamma 120.00
_space_group_name_H-M_alt 'P -6 m 2'
_space_group_IT_number 187
_space_group_name_Hall 'P -6 2'
loop_
_atom_site_label
_atom_site_type_symbol
_atom_site_fract_x
_atom_site_fract_y
_atom_site_fract_z
Al1 Al 0.0000 0.0000 0.1331
Te1 Te 0.3333 0.6667 0.3325
Pt1 Pt 0.6667 0.3333 0.0000
Pt2 Pt 0.6667 0.3333 0.5000

Material: AlTePt4
Method: DFT, PBE
State: relaxed

The structure in CIF format:
```
data_AlTePt4
_chemical_formula_sum 'Al4 Te4 Pt16'
_cell_length_a 7.5674
_cell_length_b 7.5674
_cell_length_c 7.5674
_cell_angle_alpha 90.00
_cell_angle_beta 90.00
_cell_angle_gamma 90.00
_space_group_name_H-M_alt 'F -4 3 m'
_space_group_IT_number 216
_space_group_name_Hall 'F -4 2 3'
loop_
_atom_site_label
_atom_site_type_symbol
_atom_site_fract_x
_atom_site_fract_y
_atom_site_fract_z
Al1 Al 0.0000 0.0000 0.0000
Te1 Te 0.2500 0.2500 0.2500
Pt1 Pt 0.1252 0.1252 0.6252
```

# AlTePt2 | Alexandria via LeMat-Bulk | PBE | relaxed
# * energy above the most stable polymorph in this dataset: 0.2791 eV per atom
data_AlTePt2
_chemical_formula_sum 'Al2 Te2 Pt4'
_cell_length_a 4.4031
_cell_length_b 4.4031
_cell_length_c 7.3295
_cell_angle_alpha 90.00
_cell_angle_beta 90.00
_cell_angle_gamma 90.00
_space_group_name_H-M_alt 'I 4/m m m'
_space_group_IT_number 139
_space_group_name_Hall '-I 4 2'
loop_
_atom_site_label
_atom_site_type_symbol
_atom_site_fract_x
_atom_site_fract_y
_atom_site_fract_z
Al1 Al 0.0000 0.0000 0.0000
Te1 Te 0.0000 0.0000 0.5000
Pt1 Pt 0.0000 0.5000 0.2500

Material: Al2TePt
Method: DFT, PBE
State: relaxed

The structure in CIF format:
```
data_Al2TePt
_chemical_formula_sum 'Al2 Te1 Pt1'
_cell_length_a 3.6601
_cell_length_b 3.6601
_cell_length_c 6.4762
_cell_angle_alpha 90.00
_cell_angle_beta 90.00
_cell_angle_gamma 90.00
_space_group_name_H-M_alt 'P 4 m m'
_space_group_IT_number 99
_space_group_name_Hall 'P 4 -2'
loop_
_atom_site_label
_atom_site_type_symbol
_atom_site_fract_x
_atom_site_fract_y
_atom_site_fract_z
Al1 Al 0.0000 0.0000 0.0000
Al2 Al 0.5000 0.5000 0.3638
Te1 Te 0.5000 0.5000 0.8360
Pt1 Pt 0.0000 0.0000 0.3669
```

# AlTePt2 | Alexandria via LeMat-Bulk | PBE | relaxed
# * energy above the most stable polymorph in this dataset: 0.0000 eV per atom
data_AlTePt2
_chemical_formula_sum 'Al2 Te2 Pt4'
_cell_length_a 7.6932
_cell_length_b 3.0676
_cell_length_c 6.4128
_cell_angle_alpha 90.00
_cell_angle_beta 99.94
_cell_angle_gamma 90.00
_space_group_name_H-M_alt 'C 1 2/m 1'
_space_group_IT_number 12
_space_group_name_Hall '-C 2y'
loop_
_atom_site_label
_atom_site_type_symbol
_atom_site_fract_x
_atom_site_fract_y
_atom_site_fract_z
Al1 Al 0.0000 0.0000 0.0000
Te1 Te 0.0000 0.5000 0.5000
Pt1 Pt 0.2331 0.5000 0.1948

Material: Al2TePt
Method: DFT, PBE
State: relaxed

The structure in CIF format:
```
data_Al2TePt
_chemical_formula_sum 'Al8 Te4 Pt4'
_cell_length_a 6.7719
_cell_length_b 6.7719
_cell_length_c 6.7719
_cell_angle_alpha 90.00
_cell_angle_beta 90.00
_cell_angle_gamma 90.00
_space_group_name_H-M_alt 'F -4 3 m'
_space_group_IT_number 216
_space_group_name_Hall 'F -4 2 3'
loop_
_atom_site_label
_atom_site_type_symbol
_atom_site_fract_x
_atom_site_fract_y
_atom_site_fract_z
Al1 Al 0.0000 0.0000 0.0000
Al2 Al 0.2500 0.2500 0.2500
Te1 Te 0.2500 0.2500 0.7500
Pt1 Pt 0.0000 0.0000 0.5000
```

Material: Al2TePt
Method: DFT, PBE
State: relaxed

The structure in CIF format:
```
data_Al2TePt
_chemical_formula_sum 'Al4 Te2 Pt2'
_cell_length_a 6.8619
_cell_length_b 3.8826
_cell_length_c 6.5513
_cell_angle_alpha 90.00
_cell_angle_beta 109.74
_cell_angle_gamma 90.00
_space_group_name_H-M_alt 'C 1 2/m 1'
_space_group_IT_number 12
_space_group_name_Hall '-C 2y'
loop_
_atom_site_label
_atom_site_type_symbol
_atom_site_fract_x
_atom_site_fract_y
_atom_site_fract_z
Al1 Al 0.2318 0.0000 0.1906
Te1 Te 0.0000 0.0000 0.5000
Pt1 Pt 0.0000 0.5000 0.0000
```

Material: Al2TePt
Method: DFT, PBE
State: relaxed

The structure in CIF format:
```
data_Al2TePt
_chemical_formula_sum 'Al2 Te1 Pt1'
_cell_length_a 4.2416
_cell_length_b 3.7384
_cell_length_c 5.5271
_cell_angle_alpha 90.00
_cell_angle_beta 110.91
_cell_angle_gamma 90.00
_space_group_name_H-M_alt 'P 1 2/m 1'
_space_group_IT_number 10
_space_group_name_Hall '-P 2y'
loop_
_atom_site_label
_atom_site_type_symbol
_atom_site_fract_x
_atom_site_fract_y
_atom_site_fract_z
Al1 Al 0.2029 0.0000 0.2763
Te1 Te 0.5000 0.5000 0.0000
Pt1 Pt 0.0000 0.5000 0.5000
```

Record order is preserved below.
Raw formation energy: -6 -52 19 -34 -80 20 -65 -140 -173 32 -167 -84 kJ/mol of formula units